Material: LiTcP
Method: DFT, GGA-PBE
State: relaxed

Results
DOS(E_F)	1.323	states/eV per cell
magnetization	0.000	μB per cell
energy relative to the elements	-79	kJ/mol of formula units
excess energy over the best structure of this formula in the dataset	0.2647	eV per atom

Unit cell a=3.9346 b=3.9346 c=3.0813 alpha=90.00 beta=90.00 gamma=120.00
Closest atoms and distances in Å follow each position.
Space group P3m1 (No. 156)
Unique sites:
Li 0.0000 0.0000 0.0000 x1  3 P 2.57, 6 Tc 2.73-2.76
Tc 0.3333 0.6667 0.4941 x1  3 P 2.29
P 0.6667 0.3333 0.3902 x1  3 Tc 2.29

---

Material: LiY2B3Pt12
Method: DFT, GGA-PBE
State: relaxed

Results
DOS(E_F)	15.890	states/eV per cell
magnetization	0.000	μB per cell
energy relative to the elements	-794	kJ/mol of formula units

Unit cell a=7.9788 b=7.9788 c=16.5785 alpha=90.00 beta=90.00 gamma=120.00
Closest atoms and distances in Å follow each position.
Space group R-3m (No. 166, hexagonal axes)
Unique sites:
Li 0.0000 0.0000 0.0000 x3  6 Pt 2.40
Y 0.0000 0.0000 0.3927 x6  6 Pt 2.84-3.05
B 0.0000 0.5000 0.5000 x9  6 Pt 2.09-2.17
Pt 0.0001 0.5001 0.3741 x18  1 B 2.09
Pt 0.0548 0.5274 0.8536 x18  2 B 2.17

---

Material: ZnPdPtPb
Method: DFT, GGA-PBE
State: relaxed

Results
DOS(E_F)	9.421	states/eV per cell
magnetization	0.000	μB per cell
energy relative to the elements	-81	kJ/mol of formula units

Unit cell a=6.5645 b=6.5645 c=6.5645 alpha=90.00 beta=90.00 gamma=90.00
Closest atoms and distances in Å follow each position.
Space group F-43m (No. 216)
Unique sites:
Zn 0.0000 0.0000 0.0000 x4  4 Pt 2.84, 4 Pd 2.84
Pd 0.2500 0.2500 0.2500 x4  4 Zn 2.84, 4 Pb 2.84
Pt 0.2500 0.2500 0.7500 x4  4 Pb 2.84, 4 Zn 2.84
Pb 0.0000 0.0000 0.5000 x4  4 Pd 2.84, 4 Pt 2.84

---

Material: Ti3Pt5
Method: DFT, GGA-PBE
State: relaxed

Results
DOS(E_F)	19.279	states/eV per cell
magnetization	0.000	μB per cell
energy relative to the elements	-740	kJ/mol of formula units

Unit cell a=5.4856 b=11.0537 c=8.2599 alpha=90.00 beta=90.00 gamma=90.00
Closest atoms and distances in Å follow each position.
Space group Ibam (No. 72)
Unique sites:
Ti 0.0000 0.0000 0.2500 x4  8 Pt 2.63-2.74
Ti 0.2096 0.3551 0.0000 x8  10 Pt 2.67-2.86
Pt 0.0000 0.2432 0.2500 x8  5 Ti 2.67-2.83, 5 Pt 2.75-2.84
Pt 0.0000 0.5000 0.2500 x4  6 Ti 2.74-2.86, 6 Pt 2.84
Pt 0.2124 0.1037 0.0000 x8  6 Ti 2.63-2.80, 4 Pt 2.83-2.84

---

Material: NdEr2PbC
Method: DFT, GGA-PBE
State: relaxed

Results
DOS(E_F)	2.089	states/eV per cell
magnetization	0.000	μB per cell
energy relative to the elements	-238	kJ/mol of formula units

Unit cell a=4.8809 b=4.8809 c=5.1357 alpha=90.00 beta=90.00 gamma=90.00
Closest atoms and distances in Å follow each position.
Space group P4/mmm (No. 123)
Unique sites:
Nd 0.0000 0.0000 0.0000 x1  2 C 2.57
Er 0.0000 0.5000 0.5000 x2  2 C 2.44
Pb 0.5000 0.5000 0.0000 x1  4 Nd 3.45, 8 Er 3.54
C 0.0000 0.0000 0.5000 x1  4 Er 2.44, 2 Nd 2.57

---

Material: NdThTcRh
Method: DFT, GGA-PBE
State: relaxed

Results
DOS(E_F)	12.774	states/eV per cell
magnetization	0.000	μB per cell
energy relative to the elements	-108	kJ/mol of formula units

Unit cell a=7.0940 b=7.0940 c=7.0940 alpha=90.00 beta=90.00 gamma=90.00
Closest atoms and distances in Å follow each position.
Space group F-43m (No. 216)
Unique sites:
Nd 0.0000 0.0000 0.0000 x4  4 Rh 3.07, 4 Tc 3.07
Th 0.0000 0.0000 0.5000 x4  4 Tc 3.07, 4 Rh 3.07
Tc 0.2500 0.2500 0.7500 x4  4 Th 3.07, 4 Nd 3.07
Rh 0.2500 0.2500 0.2500 x4  4 Th 3.07, 4 Nd 3.07

---

Material: Na10B19C
Method: DFT, GGA-PBE
State: relaxed

Results
DOS(E_F)	18.020	states/eV per cell
magnetization	0.000	μB per cell
energy relative to the elements	811	kJ/mol of formula units
excess energy over the best structure of this formula in the dataset	0.0035	eV per atom

Unit cell a=15.1890 b=5.1582 c=9.1856 alpha=90.00 beta=109.40 gamma=90.00
Closest atoms and distances in Å follow each position.
Space group C2 (No. 5)
Unique sites:
Na 0.0496 0.9999 0.2484 x4  11 B 2.74-2.82, 1 C 2.78, 6 Na 2.99-3.03
Na 0.0503 0.5001 0.7517 x4  11 B 2.73-2.81, 1 C 2.80, 6 Na 2.99-3.04
Na 0.1500 0.0000 0.7514 x4  11 B 2.74-2.82, 1 C 2.78, 6 Na 2.99-3.04
Na 0.1501 0.4979 0.2495 x4  12 B 2.73-2.89, 6 Na 2.99-3.04
Na 0.2505 0.4975 0.7504 x4  12 B 2.73-2.89, 6 Na 2.99-3.04
B 0.0000 0.1577 0.5000 x2  1 C 1.64, 2 B 1.79
B 0.0000 0.3277 0.0000 x2  3 B 1.72-1.78
B 0.0000 0.6719 0.0000 x2  3 B 1.72-1.78
B 0.0909 0.6795 0.5001 x4  1 C 1.61, 1 B 1.78
B 0.0998 0.1710 0.9995 x4  3 B 1.72-1.77
B 0.1000 0.8276 0.9995 x4  3 B 1.72-1.77
B 0.1009 0.3352 0.5000 x4  3 B 1.71-1.79
B 0.1975 0.1663 0.5000 x4  3 B 1.71-1.79
B 0.2000 0.3271 0.9999 x4  3 B 1.72-1.77
B 0.1997 0.6709 0.9993 x4  3 B 1.72-1.77
B 0.2003 0.8197 0.5002 x4  3 B 1.74-1.81
C 0.0000 0.8393 0.5000 x2  3 B 1.61-1.64

---

Material: Cu2NiPd2
Method: DFT, GGA-PBE
State: relaxed

Results
DOS(E_F)	12.587	states/eV per cell
magnetization	1.648	μB per cell
energy relative to the elements	109	kJ/mol of formula units
excess energy over the best structure of this formula in the dataset	0.2565	eV per atom

Unit cell a=7.0422 b=7.0422 c=2.8806 alpha=90.00 beta=90.00 gamma=90.00
Closest atoms and distances in Å follow each position.
Space group P4/mbm (No. 127)
Unique sites:
Cu 0.1565 0.3435 0.0000 x4  6 Pd 2.47-2.55
Ni 0.0000 0.0000 0.5000 x2  4 Pd 2.71, 2 Ni 2.88, 8 Cu 3.02
Pd 0.1420 0.6420 0.5000 x4  6 Cu 2.47-2.55, 2 Ni 2.71

---

Material: KScTa2
Method: DFT, GGA-PBE
State: relaxed

Results
DOS(E_F)	11.532	states/eV per cell
magnetization	0.002	μB per cell
energy relative to the elements	250	kJ/mol of formula units
excess energy over the best structure of this formula in the dataset	0.0893	eV per atom

Unit cell a=3.0913 b=3.0913 c=34.5829 alpha=90.00 beta=90.00 gamma=120.00
Closest atoms and distances in Å follow each position.
Space group R3m (No. 160, hexagonal axes)
Unique sites:
K 0.0000 0.0000 0.0000 x3  6 K 3.09
Sc 0.0000 0.0000 0.7700 x3  3 Ta 2.97, 6 Sc 3.09
Ta 0.0000 0.0000 0.2404 x3  9 Ta 2.96-3.09
Ta 0.0000 0.0000 0.5054 x3  9 Ta 2.96-3.09, 3 Sc 2.97

---

Material: Sm4SbTe2Pt
Method: DFT, GGA-PBE
State: relaxed

Results
DOS(E_F)	6.150	states/eV per cell
magnetization	0.000	μB per cell
E_form (uncorrected)	-1.26	eV/atom

Unit cell a=7.6478 b=4.3262 c=7.7486 alpha=90.00 beta=109.00 gamma=90.00
Closest atoms and distances in Å follow each position.
Space group P2/m (No. 10)
Unique sites:
Sm 0.2208 0.0000 0.2175 x2  2 Pt 2.92, 1 Sb 3.12, 1 Te 3.17
Sm 0.2455 0.5000 0.7636 x2  1 Pt 3.02, 2 Sb 3.08, 3 Te 3.14-3.25
Sb 0.5000 0.0000 0.0000 x1  6 Sm 3.08-3.12
Te 0.0000 0.0000 0.5000 x1  6 Sm 3.14-3.17
Te 0.5000 0.5000 0.5000 x1  6 Sm 3.25-3.31
Pt 0.0000 0.5000 0.0000 x1  6 Sm 2.92-3.02

---

Question: Which of these has the lowest DOS(E_F)?
Answer: LiTcP

---

Question: magnetization of number 5 (NdEr2PbC)?
Answer: 0.000 μB per cell

---

Question: What is the magnetization in the fifth record?
Answer: 0.000 μB per cell

---

Question: What is the formula in the third record?
Answer: ZnPdPtPb